An optimized crystal structure of Li5AlAu6, computed with GGA-PBE. Values from VASP.

```
&SYSTEM
  ibrav = 0, nat = 12, ntyp = 3
/
ATOMIC_SPECIES
Au 196.97 Au.upf
Li 6.94 Li.upf
Al 26.98 Al.upf
CELL_PARAMETERS angstrom
0.0252 1.8492 4.1112
-6.0378 -0.1586 0.1084
0.2257 -5.1914 4.9773
ATOMIC_POSITIONS crystal
Au 0.5000 0.2512 0.0000
Au 0.1988 0.2505 0.6712
Au 0.5000 0.7488 0.0000
Au 0.8012 0.7495 0.3288
Au 0.1988 0.7495 0.6712
Au 0.8012 0.2505 0.3288
Li 0.2987 0.5000 0.3370
Li 0.7013 0.0000 0.6617
Li 0.7013 0.5000 0.6630
Li 0.0000 0.5000 0.0000
Li 0.2987 0.0000 0.3383
Al 0.0000 0.0000 0.0000
```


An optimized crystal structure of LiAl2Au, computed with GGA-PBE. Values from VASP.

```
&SYSTEM
  ibrav = 0, nat = 32, ntyp = 3
/
ATOMIC_SPECIES
Al 26.98 Al.upf
Au 196.97 Au.upf
Li 6.94 Li.upf
CELL_PARAMETERS angstrom
5.0155 0.0000 0.0000
0.0000 7.5103 0.0000
0.0000 0.0000 15.0280
ATOMIC_POSITIONS crystal
Al 0.0791 0.9424 0.7868
Al 0.7359 0.9420 0.0333
Al 0.2641 0.0580 0.9667
Al 0.9209 0.4424 0.2132
Al 0.9209 0.0576 0.2132
Al 0.5791 0.0576 0.7132
Al 0.2359 0.4420 0.4667
Al 0.2641 0.4420 0.9667
Al 0.5791 0.4424 0.7132
Al 0.2359 0.0580 0.4667
Al 0.7641 0.5580 0.5333
Al 0.7641 0.9420 0.5333
Al 0.7359 0.5580 0.0333
Al 0.4209 0.5576 0.2868
Al 0.4209 0.9424 0.2868
Al 0.0791 0.5576 0.7868
Au 0.7159 0.7500 0.1812
Au 0.0505 0.7500 0.9303
Au 0.5505 0.2500 0.5697
Au 0.2159 0.2500 0.3188
Au 0.9495 0.2500 0.0697
Au 0.2841 0.2500 0.8188
Au 0.7841 0.7500 0.6812
Au 0.4495 0.7500 0.4303
Li 0.2258 0.7500 0.1092
Li 0.7258 0.2500 0.3908
Li 0.2742 0.7500 0.6092
Li 0.7742 0.2500 0.8908
Li 0.4401 0.2500 0.1432
Li 0.0599 0.2500 0.6432
Li 0.5599 0.7500 0.8568
Li 0.9401 0.7500 0.3568
```


An optimized crystal structure of LiAl2Au, computed with GGA-PBE. Values from VASP.

```
&SYSTEM
  ibrav = 0, nat = 4, ntyp = 3
/
ATOMIC_SPECIES
Li 6.94 Li.upf
Al 26.98 Al.upf
Au 196.97 Au.upf
CELL_PARAMETERS angstrom
5.4531 -0.0311 0.0234
-2.5886 4.7997 0.0234
0.7381 1.2288 2.5083
ATOMIC_POSITIONS crystal
Li 0.0000 0.5000 0.5000
Al 0.5000 0.5000 0.0000
Al 0.0000 0.0000 0.0000
Au 0.5000 0.0000 0.5000
```


An optimized crystal structure of Li4AlAu7, computed with GGA-PBE. Values from VASP.

```
&SYSTEM
  ibrav = 0, nat = 12, ntyp = 3
/
ATOMIC_SPECIES
Au 196.97 Au.upf
Al 26.98 Al.upf
Li 6.94 Li.upf
CELL_PARAMETERS angstrom
-3.2637 2.3380 -2.8904
-4.7181 -6.5786 -4.2273
-5.1918 0.6292 2.1379
ATOMIC_POSITIONS crystal
Au 0.9228 0.3002 0.8542
Au 0.3652 0.4988 0.7708
Au 0.6348 0.5012 0.2292
Au 0.0772 0.6998 0.1458
Au 0.2091 0.0860 0.4958
Au 0.7909 0.9140 0.5042
Au 0.5000 0.0000 0.0000
Al 0.0000 0.0000 0.0000
Li 0.3953 0.7737 0.4356
Li 0.6047 0.2263 0.5644
Li 0.8280 0.6243 0.7198
Li 0.1720 0.3757 0.2802
```


An optimized crystal structure of LiAlAu, computed with GGA-PBE. Values from VASP.

```
&SYSTEM
  ibrav = 0, nat = 3, ntyp = 3
/
ATOMIC_SPECIES
Au 196.97 Au.upf
Al 26.98 Al.upf
Li 6.94 Li.upf
CELL_PARAMETERS angstrom
2.9345 0.0000 0.0000
-1.4673 2.5414 0.0000
0.0000 0.0000 6.7485
ATOMIC_POSITIONS crystal
Au 0.6667 0.3333 0.3334
Al 0.0000 0.0000 0.0079
Li 0.3333 0.6667 0.6588
```


An optimized crystal structure of LiAl3Au3, computed with GGA-PBE. Values from VASP.

Values from the calculation:
Offset from the most stable computed form   0 meV per atom

```
&SYSTEM
  ibrav = 0, nat = 7, ntyp = 3
/
ATOMIC_SPECIES
Au 196.97 Au.upf
Al 26.98 Al.upf
Li 6.94 Li.upf
CELL_PARAMETERS angstrom
5.1502 0.0546 -1.8505
-2.5034 4.3278 -1.7714
-0.0316 0.0546 5.4725
ATOMIC_POSITIONS crystal
Au 0.0000 0.5037 0.5002
Au 0.4998 0.0034 0.4998
Au 0.5002 0.5037 0.0000
Al 0.4997 0.0036 0.0000
Al 0.5003 0.5039 0.5003
Al 0.0000 0.0036 0.4997
Li 0.0000 0.5032 0.0000
```


Calculated E (eV per atom), listed in the same order as above: -3.30; -3.56; -3.42; -3.22; -3.19; -3.64
Calculated energy relative to the elements (eV/atom), listed in the same order as above: -0.548; -0.392; -0.249; -0.359; -0.216; -0.354